HPd2Rh: optimized geometry, PBE.

Output
DOS at the Fermi energy   5.97 states/eV/cell
Symmetry   Fm-3m (225)
E_tot   -4.644 eV per atom

a b c (Å): 4.229 4.229 4.229
angles (deg): 60.00 60.00 60.00
Sites, in units of the cell vectors:
Pd: 0.750 0.750 0.750
Pd: 0.250 0.250 0.250
Rh: 0.500 0.500 0.500
H: 0.000 0.000 0.000